Computed, not measured: Pm2PrCd after structural relaxation at the PBE level of DFT.

a = 3.5622 Å, b = 3.5622 Å, c = 37.4948 Å
α = 90.00°, β = 90.00°, γ = 120.00°
Space group R-3m (No. 166, hexagonal axes)
Asymmetric unit:
Pm: 0.0000 0.0000 0.0878 [6 per cell]
Pr: 0.0000 0.0000 0.5000 [3 per cell]
Cd: 0.0000 0.0000 0.0000 [3 per cell]

Properties
Crystal system   trigonal
E_form   0.17 eV/atom
Distance to the lowest polymorph of the same formula   323 meV/atom
Total magnetic moment   0.000 μB per atom

=====

Computed, not measured: YLuCd4 after structural relaxation at the PBE level of DFT.

a = 8.316 Å, b = 8.316 Å, c = 8.316 Å
α = 90.00°, β = 90.00°, γ = 90.00°
Space group F-43m (No. 216)
Asymmetric unit:
Y: 0.000 0.000 0.000 [4 per cell]
Lu: 0.250 0.250 0.250 [4 per cell]
Cd: 0.125 0.125 0.625 [16 per cell]

Properties
Crystal system   cubic
E_form   -0.23 eV/atom
Total magnetic moment   0.000 μB per atom

=====

Computed, not measured: LaPm6Pr2Ho after structural relaxation at the PBE level of DFT.

a = 9.202 Å, b = 15.427 Å, c = 10.027 Å
α = 90.00°, β = 99.58°, γ = 90.00°
Space group C2/c (No. 15)
Asymmetric unit:
La: 0.000 0.096 0.250 [4 per cell]
Pm: 0.065 0.314 0.444 [8 per cell]
Pm: 0.105 0.103 0.622 [8 per cell]
Pm: 0.196 0.276 0.815 [8 per cell]
Pr: 0.237 0.449 0.041 [8 per cell]
Ho: 0.000 0.482 0.750 [4 per cell]

Properties
Crystal system   monoclinic
E_form   0.12 eV/atom
Total magnetic moment   0.000 μB per atom

=====

Look up the total magnetic moment of the first one. 0.000 μB per atom